Run 1
# Ba5Sr2Ca5, optimized geometry, DFT PBE
data_Ba5Sr2Ca5
_chemical_formula_sum 'Ba5 Sr2 Ca5'
_cell_length_a 6.781
_cell_length_b 7.636
_cell_length_c 13.546
_cell_angle_alpha 102.74
_cell_angle_beta 102.14
_cell_angle_gamma 92.92
_space_group_name_H-M_alt 'P -1'
_space_group_IT_number 2
loop_
_space_group_symop_operation_xyz
'x,y,z'
'-x,-y,-z'
loop_
_atom_site_label
_atom_site_fract_x
_atom_site_fract_y
_atom_site_fract_z
_atom_site_occupancy
Ba1 0.000 0.000 0.000 1
Ba2 0.293 0.510 0.598 1
Ba3 0.452 0.693 0.920 1
Sr1 0.110 0.626 0.194 1
Ca1 0.154 0.180 0.296 1
Ca2 0.374 0.085 0.769 1
Ca3 0.500 0.000 0.500 1
# Density of states at the Fermi level (states/eV per atom): 1.297
# Calculated volume (A^3/atom): 55.44

Run 2
# Ba5Sr2Ca5, optimized geometry, DFT PBE
data_Ba5Sr2Ca5
_chemical_formula_sum 'Ba10 Sr4 Ca10'
_cell_length_a 14.139
_cell_length_b 6.642
_cell_length_c 14.056
_cell_angle_alpha 90.00
_cell_angle_beta 109.41
_cell_angle_gamma 90.00
_space_group_name_H-M_alt 'C 1 2/m 1'
_space_group_IT_number 12
loop_
_space_group_symop_operation_xyz
'x,y,z'
'-x,-y,-z'
'-x,y,-z'
'x,-y,z'
'x+1/2,y+1/2,z'
'-x+1/2,-y+1/2,-z'
'-x+1/2,y+1/2,-z'
'x+1/2,-y+1/2,z'
loop_
_atom_site_label
_atom_site_fract_x
_atom_site_fract_y
_atom_site_fract_z
_atom_site_occupancy
Ba1 0.000 0.000 0.000 1
Ba2 0.089 0.000 0.752 1
Ba3 0.166 0.000 0.497 1
Sr1 0.085 0.500 0.242 1
Ca1 0.000 0.500 0.500 1
Ca2 0.175 0.500 0.993 1
Ca3 0.246 0.500 0.749 1
# Density of states at the Fermi level (states/eV per atom): 1.447
# Calculated volume (A^3/atom): 51.87

The least stable of them is run 1.

Run 1
# Ba4Sr5Ca2, optimized geometry, DFT PBE
data_Ba4Sr5Ca2
_chemical_formula_sum 'Ba8 Sr10 Ca4'
_cell_length_a 28.691
_cell_length_b 4.085
_cell_length_c 10.524
_cell_angle_alpha 90.00
_cell_angle_beta 94.40
_cell_angle_gamma 90.00
_space_group_name_H-M_alt 'C 1 2/m 1'
_space_group_IT_number 12
loop_
_space_group_symop_operation_xyz
'x,y,z'
'-x,-y,-z'
'-x,y,-z'
'x,-y,z'
'x+1/2,y+1/2,z'
'-x+1/2,-y+1/2,-z'
'-x+1/2,y+1/2,-z'
'x+1/2,-y+1/2,z'
loop_
_atom_site_label
_atom_site_fract_x
_atom_site_fract_y
_atom_site_fract_z
_atom_site_occupancy
Ba1 0.044 0.000 0.363 1
Ba2 0.177 0.500 0.476 1
Sr1 0.000 0.500 0.000 1
Sr2 0.138 0.000 0.100 1
Sr3 0.231 0.000 0.825 1
Ca1 0.092 0.000 0.739 1
# Density of states at the Fermi level (states/eV per atom): 1.359
# Calculated volume (A^3/atom): 55.90

Run 2
# Ba4Sr5Ca2, optimized geometry, DFT PBE
data_Ba4Sr5Ca2
_chemical_formula_sum 'Ba8 Sr10 Ca4'
_cell_length_a 29.037
_cell_length_b 4.099
_cell_length_c 10.386
_cell_angle_alpha 90.00
_cell_angle_beta 95.13
_cell_angle_gamma 90.00
_space_group_name_H-M_alt 'C 1 2/m 1'
_space_group_IT_number 12
loop_
_space_group_symop_operation_xyz
'x,y,z'
'-x,-y,-z'
'-x,y,-z'
'x,-y,z'
'x+1/2,y+1/2,z'
'-x+1/2,-y+1/2,-z'
'-x+1/2,y+1/2,-z'
'x+1/2,-y+1/2,z'
loop_
_atom_site_label
_atom_site_fract_x
_atom_site_fract_y
_atom_site_fract_z
_atom_site_occupancy
Ba1 0.042 0.000 0.354 1
Ba2 0.226 0.500 0.819 1
Sr1 0.000 0.500 0.000 1
Sr2 0.130 0.000 0.054 1
Sr3 0.182 0.000 0.466 1
Ca1 0.089 0.500 0.703 1
# Density of states at the Fermi level (states/eV per atom): 1.253
# Calculated volume (A^3/atom): 55.97

The least stable of them is run 1.

Run 1
# BaSr2Ca6, optimized geometry, DFT PBE
data_BaSr2Ca6
_chemical_formula_sum 'Ba1 Sr2 Ca6'
_cell_length_a 4.0167
_cell_length_b 4.0167
_cell_length_c 30.3310
_cell_angle_alpha 90.00
_cell_angle_beta 90.00
_cell_angle_gamma 120.00
_space_group_name_H-M_alt 'P -6 m 2'
_space_group_IT_number 187
_space_group_name_Hall 'P -6 2'
loop_
_atom_site_label
_atom_site_fract_x
_atom_site_fract_y
_atom_site_fract_z
_atom_site_occupancy
Ba1 0.0000 0.0000 0.0000 1
Sr1 0.3333 0.6667 0.3296 1
Ca1 0.0000 0.0000 0.2183 1
Ca2 0.0000 0.0000 0.4396 1
Ca3 0.3333 0.6667 0.1138 1
# Density of states at the Fermi level (states/eV per atom): 1.253
# Calculated volume (A^3/atom): 47.09

Run 2
# BaSr2Ca6, optimized geometry, DFT PBE
data_BaSr2Ca6
_chemical_formula_sum 'Ba2 Sr4 Ca12'
_cell_length_a 12.071
_cell_length_b 12.071
_cell_length_c 5.798
_cell_angle_alpha 90.00
_cell_angle_beta 90.00
_cell_angle_gamma 90.00
_space_group_name_H-M_alt 'P 42/m n m'
_space_group_IT_number 136
_space_group_name_Hall '-P 4n 2n'
loop_
_atom_site_label
_atom_site_fract_x
_atom_site_fract_y
_atom_site_fract_z
_atom_site_occupancy
Ba1 0.000 0.000 0.000 1
Sr1 0.172 0.172 0.500 1
Ca1 0.003 0.341 0.000 1
Ca2 0.171 0.829 0.500 1
# Density of states at the Fermi level (states/eV per atom): 1.322
# Calculated volume (A^3/atom): 46.93

The least stable of them is run 1.

Run 1
# Ba2Sr7Ca, optimized geometry, DFT PBE
data_Ba2Sr7Ca
_chemical_formula_sum 'Ba8 Sr28 Ca4'
_cell_length_a 13.672
_cell_length_b 13.672
_cell_length_c 13.672
_cell_angle_alpha 90.00
_cell_angle_beta 90.00
_cell_angle_gamma 90.00
_space_group_name_H-M_alt 'F m -3 m'
_space_group_IT_number 225
_space_group_name_Hall '-F 4 2 3'
loop_
_atom_site_label
_atom_site_fract_x
_atom_site_fract_y
_atom_site_fract_z
_atom_site_occupancy
Ba1 0.250 0.250 0.250 1
Sr1 0.000 0.000 0.000 1
Sr2 0.000 0.000 0.253 1
Ca1 0.000 0.000 0.500 1
# Density of states at the Fermi level (states/eV per atom): 1.756
# Calculated volume (A^3/atom): 63.89

Run 2
# Ba2Sr7Ca, optimized geometry, DFT PBE
data_Ba2Sr7Ca
_chemical_formula_sum 'Ba4 Sr14 Ca2'
_cell_length_a 7.784
_cell_length_b 35.125
_cell_length_c 4.099
_cell_angle_alpha 90.00
_cell_angle_beta 90.00
_cell_angle_gamma 90.00
_space_group_name_H-M_alt 'C m m m'
_space_group_IT_number 65
_space_group_name_Hall '-C 2 2'
loop_
_atom_site_label
_atom_site_fract_x
_atom_site_fract_y
_atom_site_fract_z
_atom_site_occupancy
Ba1 0.000 0.206 0.000 1
Sr1 0.000 0.000 0.000 1
Sr2 0.000 0.313 0.500 1
Sr3 0.247 0.404 0.000 1
Ca1 0.000 0.500 0.500 1
# Density of states at the Fermi level (states/eV per atom): 1.383
# Calculated volume (A^3/atom): 56.03

The least stable of them is run 1.

Run 1
# Ba7Sr3Ca, optimized geometry, DFT PBE
data_Ba7Sr3Ca
_chemical_formula_sum 'Ba7 Sr3 Ca1'
_cell_length_a 8.6879
_cell_length_b 8.6879
_cell_length_c 10.5965
_cell_angle_alpha 90.00
_cell_angle_beta 90.00
_cell_angle_gamma 120.00
_space_group_name_H-M_alt 'P 3 m 1'
_space_group_IT_number 156
loop_
_space_group_symop_operation_xyz
'x,y,z'
'-y,x-y,z'
'-x+y,-x,z'
'-y,-x,z'
'-x+y,y,z'
'x,x-y,z'
loop_
_atom_site_label
_atom_site_fract_x
_atom_site_fract_y
_atom_site_fract_z
_atom_site_occupancy
Ba1 0.0000 0.0000 0.0000 1
Ba2 0.0021 0.5010 0.0039 1
Ba3 0.3354 0.1677 0.6584 1
Sr1 0.1684 0.3367 0.3367 1
Ca1 0.3333 0.6667 0.6654 1
# Density of states at the Fermi level (states/eV per atom): 1.579
# Calculated volume (A^3/atom): 62.97

Run 2
# Ba7Sr3Ca, optimized geometry, DFT PBE
data_Ba7Sr3Ca
_chemical_formula_sum 'Ba28 Sr12 Ca4'
_cell_length_a 4.257
_cell_length_b 29.583
_cell_length_c 21.254
_cell_angle_alpha 90.00
_cell_angle_beta 90.00
_cell_angle_gamma 90.00
_space_group_name_H-M_alt 'C m c m'
_space_group_IT_number 63
_space_group_name_Hall '-C 2c 2'
loop_
_atom_site_label
_atom_site_fract_x
_atom_site_fract_y
_atom_site_fract_z
_atom_site_occupancy
Ba1 0.000 0.016 0.142 1
Ba2 0.000 0.110 0.750 1
Ba3 0.000 0.163 0.109 1
Ba4 0.000 0.204 0.576 1
Sr1 0.000 0.258 0.750 1
Sr2 0.000 0.423 0.025 1
Ca1 0.000 0.395 0.750 1
# Density of states at the Fermi level (states/eV per atom): 1.543
# Calculated volume (A^3/atom): 60.83

The least stable of them is run 1.

Run 1
# BaSr2Ca7, optimized geometry, DFT PBE
data_BaSr2Ca7
_chemical_formula_sum 'Ba2 Sr4 Ca14'
_cell_length_a 7.340
_cell_length_b 33.248
_cell_length_c 3.882
_cell_angle_alpha 90.00
_cell_angle_beta 90.00
_cell_angle_gamma 90.00
_space_group_name_H-M_alt 'C m m m'
_space_group_IT_number 65
_space_group_name_Hall '-C 2 2'
loop_
_atom_site_label
_atom_site_fract_x
_atom_site_fract_y
_atom_site_fract_z
_atom_site_occupancy
Ba1 0.000 0.000 0.000 1
Sr1 0.000 0.292 0.500 1
Ca1 0.000 0.186 0.000 1
Ca2 0.000 0.500 0.500 1
Ca3 0.250 0.100 0.500 1
# Density of states at the Fermi level (states/eV per atom): 1.451
# Calculated volume (A^3/atom): 47.37

Run 2
# BaSr2Ca7, optimized geometry, DFT PBE
data_BaSr2Ca7
_chemical_formula_sum 'Ba2 Sr4 Ca14'
_cell_length_a 9.551
_cell_length_b 26.408
_cell_length_c 4.065
_cell_angle_alpha 90.00
_cell_angle_beta 90.00
_cell_angle_gamma 90.00
_space_group_name_H-M_alt 'C m m m'
_space_group_IT_number 65
_space_group_name_Hall '-C 2 2'
loop_
_atom_site_label
_atom_site_fract_x
_atom_site_fract_y
_atom_site_fract_z
_atom_site_occupancy
Ba1 0.000 0.000 0.000 1
Sr1 0.000 0.257 0.500 1
Ca1 0.000 0.383 0.000 1
Ca2 0.000 0.500 0.500 1
Ca3 0.188 0.123 0.500 1
# Density of states at the Fermi level (states/eV per atom): 1.377
# Calculated volume (A^3/atom): 51.27

The least stable of them is run 2.